Arrangement A

# MnSnSb2I

A relaxed structure of MnSnSb2I (PBE, the Alexandria database).

Computed properties:
- Space group: P4/mmm
- Theoretical density: 5.985 Mg/m³

a b c (Å): 5.0972 5.0972 5.8098
angles (deg): 90.00 90.00 90.00
Fractional coordinates of all 5 atoms:
Mn 0.0000 0.0000 0.0000
Sn 0.5000 0.5000 0.5000
Sb 0.0000 0.5000 0.0000
Sb 0.5000 0.0000 0.0000
I 0.0000 0.0000 0.5000


Arrangement B

# MnSnSb2I

A relaxed structure of MnSnSb2I (PBE, the Alexandria database).

Computed properties:
- Space group: P4/mmm
- Theoretical density: 4.675 Mg/m³

a b c (Å): 5.7106 5.7106 5.9257
angles (deg): 90.00 90.00 90.00
Fractional coordinates of all 5 atoms:
Mn 0.0000 0.0000 0.0000
Sn 0.5000 0.5000 0.5000
Sb 0.0000 0.5000 0.5000
Sb 0.5000 0.0000 0.5000
I 0.5000 0.5000 0.0000


The calculated energies rank the structures as follows, beginning with the most stable: arrangement A, arrangement B.


Arrangement A

# MnSbWI2

A relaxed structure of MnSbWI2 (PBE, the Alexandria database).

Computed properties:
- Space group: P4/mmm
- Theoretical density: 8.022 Mg/m³

a b c (Å): 5.1926 5.1926 4.7164
angles (deg): 90.00 90.00 90.00
Fractional coordinates of all 5 atoms:
Mn 0.0000 0.0000 0.0000
Sb 0.5000 0.5000 0.5000
W 0.0000 0.0000 0.5000
I 0.0000 0.5000 0.0000
I 0.5000 0.0000 0.0000


Arrangement B

# MnSbWI2

A relaxed structure of MnSbWI2 (PBE, the Alexandria database).

Computed properties:
- Space group: P4/mmm
- Theoretical density: 6.047 Mg/m³

a b c (Å): 5.6467 5.6467 5.2914
angles (deg): 90.00 90.00 90.00
Fractional coordinates of all 5 atoms:
Mn 0.0000 0.0000 0.0000
Sb 0.5000 0.5000 0.0000
W 0.5000 0.5000 0.5000
I 0.0000 0.5000 0.5000
I 0.5000 0.0000 0.5000


The calculated energies rank the structures as follows, beginning with the most stable: arrangement B, arrangement A.


Arrangement A

# YMnSb2I

A relaxed structure of YMnSb2I (PBE, the Alexandria database).

Computed properties:
- Space group: P4/mmm
- Theoretical density: 6.291 Mg/m³

a b c (Å): 4.9314 4.9314 5.5822
angles (deg): 90.00 90.00 90.00
Fractional coordinates of all 5 atoms:
Y 0.0000 0.0000 0.0000
Mn 0.5000 0.5000 0.5000
Sb 0.0000 0.5000 0.5000
Sb 0.5000 0.0000 0.5000
I 0.5000 0.5000 0.0000


Arrangement B

# YMnSb2I

A relaxed structure of YMnSb2I (PBE, the Alexandria database).

Computed properties:
- Space group: P4/mmm
- Theoretical density: 4.216 Mg/m³

a b c (Å): 5.8657 5.8657 5.8875
angles (deg): 90.00 90.00 90.00
Fractional coordinates of all 5 atoms:
Y 0.0000 0.0000 0.0000
Mn 0.5000 0.5000 0.5000
Sb 0.0000 0.5000 0.0000
Sb 0.5000 0.0000 0.0000
I 0.0000 0.0000 0.5000


The calculated energies rank the structures as follows, beginning with the most stable: arrangement A, arrangement B.


Arrangement A

# MnZnSbI2

A relaxed structure of MnZnSbI2 (PBE, the Alexandria database).

Computed properties:
- Space group: P4/mmm
- Theoretical density: 4.924 Mg/m³

a b c (Å): 5.5562 5.5562 5.4169
angles (deg): 90.00 90.00 90.00
Fractional coordinates of all 5 atoms:
Mn 0.0000 0.0000 0.0000
Zn 0.5000 0.5000 0.5000
Sb 0.5000 0.5000 0.0000
I 0.0000 0.5000 0.5000
I 0.5000 0.0000 0.5000


Arrangement B

# MnZnSbI2

A relaxed structure of MnZnSbI2 (PBE, the Alexandria database).

Computed properties:
- Space group: P4/mmm
- Theoretical density: 5.488 Mg/m³

a b c (Å): 5.5296 5.5296 4.9079
angles (deg): 90.00 90.00 90.00
Fractional coordinates of all 5 atoms:
Mn 0.0000 0.0000 0.0000
Zn 0.5000 0.5000 0.5000
Sb 0.0000 0.0000 0.5000
I 0.0000 0.5000 0.0000
I 0.5000 0.0000 0.0000


The calculated energies rank the structures as follows, beginning with the most stable: arrangement B, arrangement A.